Fe2CuNi | Alexandria | PBEsol | relaxed; E_tot = -7.037 eV per atom; offset from the most stable computed form = 3 meV per atom; magnetic moment = 5.75 μB/cell; calculated formation energy = 0.07 eV per atom
1.0
2.4612 -3.6162 0.0000
2.4612 3.6162 0.0000
0.0000 0.0000 2.4621
Fe Cu Ni
2 1 1
direct
0.0000 0.5000 0.0000
0.5000 0.0000 0.0000
0.0000 0.0000 0.5000
0.5000 0.5000 0.5000